A relaxed structure of ZrTl3Te4, computed with GGA-PBE.

a b c (Å): 8.2724 9.2158 7.6493
angles (deg): 90.00 110.07 90.00
Last column: nearest neighbours and their distance in Å.
Space group P2/c (No. 13)
Unique sites:
Zr1 0.0000 0.1150 0.2500 x2  6 Te 2.90-2.98
Tl1 0.0000 0.3877 0.7500 x2  6 Te 3.27-3.31
Tl2 0.5000 0.1170 0.7500 x2  6 Te 3.23-3.56
Tl3 0.5000 0.3873 0.2500 x2  6 Te 3.30-3.58
Te1 0.2081 0.1125 0.9998 x4  2 Zr 2.96-2.98, 2 Tl 3.28-3.29
Te2 0.2260 0.3366 0.4730 x4  1 Zr 2.90, 1 Tl 3.23

Calculated values
Formation energy without anion corrections (eV/atom): -0.480
Spin magnetization (μB per cell): 0.00
DOS(E_F) (states/eV/cell): 10.2